RbHgPd | PBE | optimized geometry

Output
Total magnetization in μB per atom: 0.00
Symmetry: P4/nmm (129)
Uncorrected energy in eV/f.u.: -6.8
DOS at the Fermi energy in states/eV per atom: 0.77
Distance to the lowest polymorph of the same formula in kJ/mol of atoms: 3.9
Formation enthalpy at 0 K in eV/atom: -0.121

a b c (Å): 5.0482 5.0482 7.5303
angles (deg): 90.00 90.00 90.00
Positions (direct):
Rb1 0.2500 0.2500 0.1711
Rb2 0.7500 0.7500 0.8289
Hg1 0.2500 0.2500 0.6550
Hg2 0.7500 0.7500 0.3450
Pd1 0.2500 0.7500 0.5000
Pd2 0.7500 0.2500 0.5000